Compound: Pr3HoTh2Se6
Source: Alexandria via LeMat-Bulk
Functional: PBE
Structure: relaxed

It has space group C2/m (No. 12), with a = 7.301 Å, b = 12.618 Å, c = 7.299 Å, α = 90.00°, β = 109.51° and γ = 90.00°. The asymmetric unit holds Pr at (0.000, 0.000, 0.000), Pr at (0.000, 0.330, 0.000), Ho at (0.000, 0.500, 0.500), Th at (0.000, 0.166, 0.500), Se at (0.242, 0.338, 0.740) and Se at (0.243, 0.500, 0.256).

For the volume, the calculation gives 26.41 A^3/atom. The formation energy from raw total energies comes out at -1.710 eV/atom.